No. 1
Crystalline CaLaCd at its relaxed geometry. Source: the Alexandria database, functional GGA-PBE. Values from VASP.

```
&SYSTEM
  ibrav = 0, nat = 3, ntyp = 3
/
ATOMIC_SPECIES
Ca 40.08 Ca.upf
La 138.91 La.upf
Cd 112.41 Cd.upf
CELL_PARAMETERS angstrom
5.5094 0.0000 0.0000
-2.7547 4.7713 0.0000
0.0000 0.0000 3.7038
ATOMIC_POSITIONS crystal
Ca 0.0000 0.0000 0.0000
La 0.3333 0.6667 0.5375
Cd 0.6667 0.3333 0.1263
```

Computed properties:
D(E_F): 2.79 states/eV/f.u.
excess energy over the best structure of this formula in the dataset: 2.56 kcal/mol of atoms
magnetization: 0.00 μB/f.u.
symmetry: P3m1
crystal system: trigonal

=====

No. 2
Crystalline LuPuIr at its relaxed geometry. Source: the Alexandria database, functional GGA-PBE. Values from VASP.

```
&SYSTEM
  ibrav = 0, nat = 3, ntyp = 3
/
ATOMIC_SPECIES
Lu 174.97 Lu.upf
Pu 244.00 Pu.upf
Ir 192.22 Ir.upf
CELL_PARAMETERS angstrom
0.0000 3.3576 3.3576
3.3576 0.0000 3.3576
3.3576 3.3576 0.0000
ATOMIC_POSITIONS crystal
Lu 0.0000 0.0000 0.0000
Pu 0.5000 0.5000 0.5000
Ir 0.7500 0.7500 0.7500
```

Computed properties:
D(E_F): 9.20 states/eV/f.u.
excess energy over the best structure of this formula in the dataset: 0.00 kcal/mol of atoms
magnetization: 5.84 μB/f.u.
symmetry: F-43m
crystal system: cubic

=====

No. 3
Crystalline Sr3LaIr at its relaxed geometry. Source: the Alexandria database, functional GGA-PBE. Values from VASP.

```
&SYSTEM
  ibrav = 0, nat = 5, ntyp = 3
/
ATOMIC_SPECIES
Sr 87.62 Sr.upf
La 138.91 La.upf
Ir 192.22 Ir.upf
CELL_PARAMETERS angstrom
5.8839 0.0000 0.0000
0.0000 5.8839 0.0000
0.0000 0.0000 5.8839
ATOMIC_POSITIONS crystal
Sr 0.0000 0.0000 0.5000
Sr 0.0000 0.5000 0.0000
Sr 0.5000 0.0000 0.0000
La 0.5000 0.5000 0.5000
Ir 0.0000 0.0000 0.0000
```

Computed properties:
D(E_F): 4.12 states/eV/f.u.
excess energy over the best structure of this formula in the dataset: 0.00 kcal/mol of atoms
magnetization: 0.00 μB/f.u.
symmetry: Pm-3m
crystal system: cubic

=====

No. 4
Crystalline Ba2EuIn at its relaxed geometry. Source: the Alexandria database, functional GGA-PBE. Values from VASP.

```
&SYSTEM
  ibrav = 0, nat = 4, ntyp = 3
/
ATOMIC_SPECIES
Ba 137.33 Ba.upf
Eu 151.96 Eu.upf
In 114.82 In.upf
CELL_PARAMETERS angstrom
4.2694 0.0000 0.0000
0.0000 4.2694 0.0000
0.0000 0.0000 10.2221
ATOMIC_POSITIONS crystal
Ba 0.0000 0.0000 0.1999
Ba 0.0000 0.0000 0.8001
Eu 0.5000 0.5000 0.5000
In 0.5000 0.5000 0.0000
```

Computed properties:
D(E_F): 4.63 states/eV/f.u.
excess energy over the best structure of this formula in the dataset: 0.00 kcal/mol of atoms
magnetization: 7.94 μB/f.u.
symmetry: P4/mmm
crystal system: tetragonal

=====

No. 5
Crystalline Dy3ZnIn at its relaxed geometry. Source: the Alexandria database, functional GGA-PBE. Values from VASP.

```
&SYSTEM
  ibrav = 0, nat = 10, ntyp = 3
/
ATOMIC_SPECIES
Dy 162.50 Dy.upf
Zn 65.41 Zn.upf
In 114.82 In.upf
CELL_PARAMETERS angstrom
8.0043 0.0000 0.0000
-4.0022 6.9320 0.0000
0.0000 0.0000 5.0452
ATOMIC_POSITIONS crystal
Dy 0.1902 0.3804 0.2500
Dy 0.1902 0.8098 0.2500
Dy 0.3804 0.1902 0.7500
Dy 0.6196 0.8098 0.2500
Dy 0.8098 0.1902 0.7500
Dy 0.8098 0.6196 0.7500
Zn 0.0000 0.0000 0.0000
Zn 0.0000 0.0000 0.5000
In 0.3333 0.6667 0.7500
In 0.6667 0.3333 0.2500
```

Computed properties:
D(E_F): 3.54 states/eV/f.u.
excess energy over the best structure of this formula in the dataset: 2.89 kcal/mol of atoms
magnetization: 0.00 μB/f.u.
symmetry: P6_3/mmc
crystal system: hexagonal

=====

No. 6
Crystalline Sr2Zn3CuAu12 at its relaxed geometry. Source: the Alexandria database, functional GGA-PBE. Values from VASP.

```
&SYSTEM
  ibrav = 0, nat = 18, ntyp = 4
/
ATOMIC_SPECIES
Sr 87.62 Sr.upf
Zn 65.41 Zn.upf
Cu 63.55 Cu.upf
Au 196.97 Au.upf
CELL_PARAMETERS angstrom
4.1893 2.4187 7.0504
-4.1893 2.4187 7.0504
0.0000 -4.8374 7.0504
ATOMIC_POSITIONS crystal
Sr 0.1322 0.1322 0.1322
Sr 0.8678 0.8678 0.8678
Zn 0.0000 0.5000 0.5000
Zn 0.5000 0.0000 0.5000
Zn 0.5000 0.5000 0.0000
Cu 0.5000 0.5000 0.5000
Au 0.1273 0.1273 0.6279
Au 0.1273 0.6279 0.1273
Au 0.1355 0.6128 0.6128
Au 0.3721 0.8727 0.8727
Au 0.3872 0.3872 0.8645
Au 0.3872 0.8645 0.3872
Au 0.6128 0.1355 0.6128
Au 0.6128 0.6128 0.1355
Au 0.6279 0.1273 0.1273
Au 0.8645 0.3872 0.3872
Au 0.8727 0.3721 0.8727
Au 0.8727 0.8727 0.3721
```

Computed properties:
D(E_F): 9.12 states/eV/f.u.
energy: -2.903 eV/atom
magnetization: 0.00 μB/f.u.
symmetry: R-3m
crystal system: trigonal

=====

No. 7
Crystalline CaNd2OsO8 at its relaxed geometry. Source: the Alexandria database, functional GGA-PBE. Values from VASP.

```
&SYSTEM
  ibrav = 0, nat = 12, ntyp = 4
/
ATOMIC_SPECIES
Ca 40.08 Ca.upf
Nd 144.24 Nd.upf
Os 190.23 Os.upf
O 16.00 O.upf
CELL_PARAMETERS angstrom
5.1521 0.0000 0.0000
0.0000 7.0983 0.0000
-0.0802 0.0000 5.1599
ATOMIC_POSITIONS crystal
Ca 0.0000 0.0000 0.0000
Nd 0.5000 0.2448 0.5000
Nd 0.5000 0.7552 0.5000
Os 0.0000 0.5000 0.0000
O 0.1777 0.3094 0.8238
O 0.1777 0.6906 0.8238
O 0.2595 0.5000 0.2607
O 0.3056 0.0000 0.3070
O 0.6944 0.0000 0.6931
O 0.7405 0.5000 0.7393
O 0.8223 0.3094 0.1762
O 0.8223 0.6906 0.1762
```

Computed properties:
magnetization: 0.00 μB/f.u.
symmetry: P2/m
crystal system: monoclinic
ΔE_f (raw): -2237 meV per atom

=====

No. 8
Crystalline CsSrB2H8 at its relaxed geometry. Source: the Alexandria database, functional GGA-PBE. Values from VASP.

```
&SYSTEM
  ibrav = 0, nat = 12, ntyp = 4
/
ATOMIC_SPECIES
Cs 132.91 Cs.upf
Sr 87.62 Sr.upf
B 10.81 B.upf
H 1.01 H.upf
CELL_PARAMETERS angstrom
2.2976 1.3265 8.1090
-2.2976 1.3265 8.1090
0.0000 -2.6531 8.1090
ATOMIC_POSITIONS crystal
Cs 0.0000 0.0000 0.0000
Sr 0.5000 0.5000 0.5000
B 0.2346 0.2346 0.2346
B 0.7654 0.7654 0.7654
H 0.0701 0.0701 0.5126
H 0.0701 0.5126 0.0701
H 0.2849 0.2849 0.2849
H 0.4874 0.9299 0.9299
H 0.5126 0.0701 0.0701
H 0.7151 0.7151 0.7151
H 0.9299 0.4874 0.9299
H 0.9299 0.9299 0.4874
```

Computed properties:
D(E_F): 1.47 states/eV/f.u.
energy: -3.917 eV/atom
magnetization: 0.00 μB/f.u.
symmetry: R-3m
crystal system: trigonal

=====

No. 9
Crystalline Mg4In3Sn2 at its relaxed geometry. Source: the Alexandria database, functional GGA-PBE. Values from VASP.

```
&SYSTEM
  ibrav = 0, nat = 9, ntyp = 3
/
ATOMIC_SPECIES
Mg 24.30 Mg.upf
In 114.82 In.upf
Sn 118.71 Sn.upf
CELL_PARAMETERS angstrom
4.6223 0.0000 0.0000
-2.2938 4.9758 0.0000
-0.1388 -2.1546 9.4753
ATOMIC_POSITIONS crystal
Mg 0.0037 0.0058 0.3310
Mg 0.3336 0.6672 0.1133
Mg 0.6664 0.3328 0.8867
Mg 0.9963 0.9942 0.6690
In 0.0000 0.0000 0.0000
In 0.3398 0.6737 0.4427
In 0.6602 0.3263 0.5573
Sn 0.3323 0.6669 0.7863
Sn 0.6677 0.3331 0.2137
```

Computed properties:
D(E_F): 3.39 states/eV/f.u.
energy: -2.595 eV/atom
magnetization: 0.00 μB/f.u.
symmetry: P-1
crystal system: triclinic

=====

No. 10
Crystalline KNb3S at its relaxed geometry. Source: the Alexandria database, functional GGA-PBE. Values from VASP.

```
&SYSTEM
  ibrav = 0, nat = 5, ntyp = 3
/
ATOMIC_SPECIES
K 39.10 K.upf
Nb 92.91 Nb.upf
S 32.06 S.upf
CELL_PARAMETERS angstrom
4.6742 0.0000 0.0000
0.0000 4.6742 0.0000
0.0000 0.0000 4.6742
ATOMIC_POSITIONS crystal
K 0.0000 0.0000 0.0000
Nb 0.0000 0.0000 0.5000
Nb 0.0000 0.5000 0.0000
Nb 0.5000 0.0000 0.0000
S 0.5000 0.5000 0.5000
```

Computed properties:
D(E_F): 3.67 states/eV/f.u.
excess energy over the best structure of this formula in the dataset: 47.28 kcal/mol of atoms
magnetization: 0.00 μB/f.u.
symmetry: Pm-3m
crystal system: cubic
ΔE_f (raw): 2742 meV per atom

=====

No. 11
Crystalline Ac6OsRh3 at its relaxed geometry. Source: the Alexandria database, functional GGA-PBE. Values from VASP.

```
&SYSTEM
  ibrav = 0, nat = 20, ntyp = 3
/
ATOMIC_SPECIES
Ac 227.00 Ac.upf
Os 190.23 Os.upf
Rh 102.91 Rh.upf
CELL_PARAMETERS angstrom
12.3397 0.0000 0.0000
0.0000 4.3273 0.0000
-4.3335 0.0000 11.7818
ATOMIC_POSITIONS crystal
Ac 0.0377 0.2500 0.3887
Ac 0.1055 0.2500 0.9385
Ac 0.2459 0.7500 0.2724
Ac 0.2992 0.7500 0.7530
Ac 0.3978 0.2500 0.5489
Ac 0.4269 0.7500 0.1036
Ac 0.5731 0.2500 0.8964
Ac 0.6022 0.7500 0.4511
Ac 0.7008 0.2500 0.2470
Ac 0.7541 0.2500 0.7276
Ac 0.8945 0.7500 0.0615
Ac 0.9623 0.7500 0.6113
Os 0.4531 0.2500 0.3032
Os 0.5469 0.7500 0.6968
Rh 0.0646 0.2500 0.1647
Rh 0.1918 0.7500 0.5002
Rh 0.3400 0.2500 0.9190
Rh 0.6600 0.7500 0.0810
Rh 0.8082 0.2500 0.4998
Rh 0.9354 0.7500 0.8353
```

Computed properties:
D(E_F): 5.96 states/eV/f.u.
energy: -6.216 eV/atom
magnetization: 0.00 μB/f.u.
symmetry: P2_1/m
crystal system: monoclinic

=====

No. 12
Crystalline Ca2ErO3 at its relaxed geometry. Source: the Alexandria database, functional GGA-PBE. Values from VASP.

```
&SYSTEM
  ibrav = 0, nat = 6, ntyp = 3
/
ATOMIC_SPECIES
Ca 40.08 Ca.upf
Er 167.26 Er.upf
O 16.00 O.upf
CELL_PARAMETERS angstrom
-1.6972 2.3928 5.1095
1.6972 -2.3928 5.1095
1.6972 2.3928 -5.1095
ATOMIC_POSITIONS crystal
Ca 0.1683 0.1683 0.0000
Ca 0.8317 0.8317 0.0000
Er 0.5000 0.5000 0.0000
O 0.0000 0.5000 0.5000
O 0.3427 0.8427 0.5000
O 0.6573 0.1573 0.5000
```

Computed properties:
D(E_F): 0.95 states/eV/f.u.
magnetization: 0.00 μB/f.u.
symmetry: Immm
crystal system: orthorhombic
ΔE_f (raw): -2893 meV per atom